# Rb2FeSF6 | Alexandria via LeMat-Bulk | PBE+U | optimized geometry
# **N(E_F)**: 0.00 states/eV per cell
# **Final energy**: -4.432 eV/atom
# **Magnetization**: 0.40 μB/atom
# **Space group**: I4/mmm, No. 139
# **Volume**: 17.733 Å³ per atom
data_Rb2FeSF6
_space_group_name_H-M_alt 'P 1'
_space_group_IT_number 1
_cell_length_a 5.795
_cell_length_b 5.795
_cell_length_c 6.683
_cell_angle_alpha 64.31
_cell_angle_beta 64.31
_cell_angle_gamma 90.00
loop_
_space_group_symop_operation_xyz
'x,y,z'
loop_
_atom_site_label
_atom_site_type_symbol
_atom_site_fract_x
_atom_site_fract_y
_atom_site_fract_z
Rb1 Rb 0.250 0.750 0.500
Fe1 Fe 0.000 0.000 0.000
F1 F 0.265 0.735 0.000
F2 F 0.265 0.265 0.000
F3 F 0.815 0.815 0.370
S1 S 0.500 0.500 0.000
Rb2 Rb 0.750 0.250 0.500
F4 F 0.735 0.735 0.000
F5 F 0.735 0.265 0.000
F6 F 0.185 0.185 0.630